# 1
Density functional theory data (GGA-PBE) for an optimized crystal structure of Os2Pd3Se2.

Summary:
Its total moment is 0.013 μB per formula unit. Its space group is C2/m (12). The value obtained for the total energy is -5.981 eV per atom.

Cell and atoms, written as POSCAR:
```
Os2Pd3Se2
1.0
5.209 -4.594 0.000
5.209 4.594 0.000
-5.197 0.000 5.676
Os Pd Se
4 6 4
Cartesian
1.184 0.000 0.388 Os
7.004 0.000 0.817 Os
-1.784 0.000 4.859 Os
4.036 0.000 5.288 Os
2.604 -2.297 0.000 Pd
5.209 -1.747 0.000 Pd
2.604 2.297 0.000 Pd
5.209 1.747 0.000 Pd
-1.195 0.000 2.361 Pd
6.415 0.000 3.314 Pd
1.205 -1.800 2.030 Se
1.205 1.800 2.030 Se
4.015 -1.800 3.645 Se
4.015 1.800 3.645 Se
```

# 2
Density functional theory data (GGA-PBE) for an optimized crystal structure of ZrSiAu2.

Summary:
Its total moment is 0.000 μB per formula unit. Its space group is F-43m (216). The value obtained for the total energy is -5.392 eV per atom.

Cell and atoms, written as POSCAR:
```
ZrSiAu2
1.0
-4.477 -0.716 1.165
-2.533 3.492 1.818
-3.418 1.970 -2.519
Au Si Zr
2 1 1
Cartesian
0.000 0.000 0.000 Au
-7.821 3.560 0.348 Au
-5.214 2.373 0.232 Si
-2.607 1.187 0.116 Zr
```